1.
DFT (PBE) results for a relaxed structure of NaV2OsS.

For the total moment, the calculation gives 1.43 μB per formula unit.

It has space group P4/mmm (No. 123), with a = 4.375 Å, b = 4.375 Å, c = 4.400 Å, α = 90.00°, β = 90.00° and γ = 90.00°. The asymmetric unit holds Na at (0.000, 0.000, 0.000), V at (0.000, 0.500, 0.500), Os at (0.500, 0.500, 0.000) and S at (0.500, 0.500, 0.500).

***

2.
DFT (PBE) results for a relaxed structure of NaYOsS2.

For the total moment, the calculation gives 0.00 μB per formula unit.

It has space group P4/mmm (No. 123), with a = 4.796 Å, b = 4.796 Å, c = 5.162 Å, α = 90.00°, β = 90.00° and γ = 90.00°. The asymmetric unit holds Na at (0.000, 0.000, 0.000), Y at (0.500, 0.500, 0.000), Os at (0.500, 0.500, 0.500) and S at (0.000, 0.500, 0.500).

***

Going through the records in order, we get formation energy (no corrections) values of 562 110 meV/atom.